Entry 1:
Pm6Dy5Sc2: optimized geometry, GGA-PBE.

Values from the calculation:
Formation enthalpy at 0 K = 63.1 meV per atom
Crystal system = orthorhombic
Raw total energy = -4.87 eV per atom

a b c (Å): 11.4356 20.3735 3.5804
angles (deg): 90.00 90.00 90.00
Fractional coordinates of all 26 atoms:
Pm: 0.0803 0.1555 0.0000
Pm: 0.1692 0.8823 0.5000
Pm: 0.2166 0.5543 0.5000
Pm: 0.2834 0.0543 0.5000
Pm: 0.3308 0.3823 0.5000
Pm: 0.4197 0.6555 0.0000
Pm: 0.5803 0.3445 0.0000
Pm: 0.6692 0.6177 0.5000
Pm: 0.7166 0.9457 0.5000
Pm: 0.7834 0.4457 0.5000
Pm: 0.8308 0.1177 0.5000
Pm: 0.9197 0.8445 0.0000
Dy: 0.0000 0.0000 0.0000
Dy: 0.0572 0.4212 0.0000
Dy: 0.1461 0.7209 0.0000
Dy: 0.3539 0.2209 0.0000
Dy: 0.4428 0.9212 0.0000
Dy: 0.5000 0.5000 0.0000
Dy: 0.5572 0.0788 0.0000
Dy: 0.6461 0.7791 0.0000
Dy: 0.8539 0.2791 0.0000
Dy: 0.9428 0.5788 0.0000
Sc: 0.1122 0.2875 0.5000
Sc: 0.3878 0.7875 0.5000
Sc: 0.6122 0.2125 0.5000
Sc: 0.8878 0.7125 0.5000

***

Entry 2:
VSn3N: optimized geometry, GGA-PBE.

Values from the calculation:
Formation energy (no corrections) = 1.1087 eV per atom
Crystal system = cubic
Energy above the lowest structure with this stoichiometry = 381 meV/atom
Raw total energy = -4.78 eV per atom

a b c (Å): 5.1359 5.1359 5.1359
angles (deg): 90.00 90.00 90.00
Fractional coordinates of all 5 atoms:
V: 0.0000 0.0000 0.0000
Sn: 0.0000 0.0000 0.5000
Sn: 0.0000 0.5000 0.0000
Sn: 0.5000 0.0000 0.0000
N: 0.5000 0.5000 0.5000

***

Entry 3:
Cs3Na2Au3: optimized geometry, GGA-PBE.

Values from the calculation:
Formation enthalpy at 0 K = -227.4 meV per atom
Crystal system = orthorhombic
Raw total energy = -2.11 eV per atom

a b c (Å): 4.1304 6.1456 25.6758
angles (deg): 90.00 90.00 90.00
Fractional coordinates of all 16 atoms:
Cs: 0.0000 0.0000 0.0000
Cs: 0.0000 0.5000 0.1181
Cs: 0.0000 0.5000 0.8819
Cs: 0.5000 0.0000 0.3819
Cs: 0.5000 0.0000 0.6181
Cs: 0.5000 0.5000 0.5000
Na: 0.0000 0.0000 0.2193
Na: 0.0000 0.0000 0.7807
Na: 0.5000 0.5000 0.2807
Na: 0.5000 0.5000 0.7193
Au: 0.0000 0.0000 0.5000
Au: 0.0000 0.5000 0.3695
Au: 0.0000 0.5000 0.6305
Au: 0.5000 0.0000 0.1305
Au: 0.5000 0.0000 0.8695
Au: 0.5000 0.5000 0.0000

***

Entry 4:
Ba3CeTh2N6: optimized geometry, GGA-PBE.

Values from the calculation:
Formation energy (no corrections) = -1.1084 eV per atom
Crystal system = monoclinic
Raw total energy = -7.48 eV per atom

a b c (Å): 6.5291 6.5291 6.8000
angles (deg): 99.20 99.20 120.00
Fractional coordinates of all 12 atoms:
Ba: 0.0000 0.0000 0.0000
Ba: 0.3352 0.6648 0.0000
Ba: 0.6648 0.3352 0.0000
Ce: 0.5000 0.5000 0.5000
Th: 0.1668 0.8332 0.5000
Th: 0.8332 0.1668 0.5000
N: 0.1058 0.4360 0.3078
N: 0.2338 0.2338 0.6925
N: 0.4360 0.1058 0.3078
N: 0.5640 0.8942 0.6922
N: 0.7662 0.7662 0.3075
N: 0.8942 0.5640 0.6922

***

Entry 5:
Mg12Sb6H: optimized geometry, GGA-PBE.

Values from the calculation:
Crystal system = trigonal
Raw total energy = -2.66 eV per atom

a b c (Å): 8.0538 8.0538 8.0538
angles (deg): 99.03 99.03 99.03
Fractional coordinates of all 19 atoms:
Mg: 0.0479 0.9176 0.3229
Mg: 0.0824 0.6771 0.9521
Mg: 0.2196 0.4314 0.5180
Mg: 0.3229 0.0479 0.9176
Mg: 0.4314 0.5180 0.2196
Mg: 0.4820 0.7804 0.5686
Mg: 0.5180 0.2196 0.4314
Mg: 0.5686 0.4820 0.7804
Mg: 0.6772 0.9521 0.0824
Mg: 0.7804 0.5686 0.4820
Mg: 0.9176 0.3229 0.0479
Mg: 0.9521 0.0824 0.6771
Sb: 0.1168 0.7829 0.6365
Sb: 0.2171 0.3635 0.8832
Sb: 0.3635 0.8832 0.2171
Sb: 0.6365 0.1168 0.7829
Sb: 0.7829 0.6365 0.1168
Sb: 0.8832 0.2171 0.3635
H: 0.5000 0.5000 0.5000

***

Entry 6:
Gd2HfZn: optimized geometry, GGA-PBE.

Values from the calculation:
Formation enthalpy at 0 K = 63.8 meV per atom
Crystal system = trigonal
Energy above the lowest structure with this stoichiometry = 135 meV/atom
Raw total energy = -9.78 eV per atom

a b c (Å): 3.4243 3.4243 30.4773
angles (deg): 90.00 90.00 120.00
Fractional coordinates of all 12 atoms:
Gd: 0.0000 0.0000 0.2460
Gd: 0.0000 0.0000 0.7540
Gd: 0.3333 0.6667 0.4206
Gd: 0.3333 0.6667 0.9127
Gd: 0.6667 0.3333 0.0873
Gd: 0.6667 0.3333 0.5794
Hf: 0.0000 0.0000 0.0000
Hf: 0.3333 0.6667 0.6667
Hf: 0.6667 0.3333 0.3333
Zn: 0.0000 0.0000 0.5000
Zn: 0.3333 0.6667 0.1667
Zn: 0.6667 0.3333 0.8333

***

> The highest raw total energy belongs to which entry?

Cs3Na2Au3

***

Repeat the fifth record exactly.
Mg12Sb6H: optimized geometry, GGA-PBE.

Values from the calculation:
Crystal system = trigonal
Raw total energy = -2.66 eV per atom

a b c (Å): 8.0538 8.0538 8.0538
angles (deg): 99.03 99.03 99.03
Fractional coordinates of all 19 atoms:
Mg: 0.0479 0.9176 0.3229
Mg: 0.0824 0.6771 0.9521
Mg: 0.2196 0.4314 0.5180
Mg: 0.3229 0.0479 0.9176
Mg: 0.4314 0.5180 0.2196
Mg: 0.4820 0.7804 0.5686
Mg: 0.5180 0.2196 0.4314
Mg: 0.5686 0.4820 0.7804
Mg: 0.6772 0.9521 0.0824
Mg: 0.7804 0.5686 0.4820
Mg: 0.9176 0.3229 0.0479
Mg: 0.9521 0.0824 0.6771
Sb: 0.1168 0.7829 0.6365
Sb: 0.2171 0.3635 0.8832
Sb: 0.3635 0.8832 0.2171
Sb: 0.6365 0.1168 0.7829
Sb: 0.7829 0.6365 0.1168
Sb: 0.8832 0.2171 0.3635
H: 0.5000 0.5000 0.5000

***

> What is the raw total energy in the second record?

-4.78 eV per atom

***

> Which value of raw total energy does entry 3 give?

-2.11 eV per atom